w.
The following is a PBE calculation of a relaxed structure of CsZr3Ru, from the Alexandria database.

Properties
Size of the total moment = 0.5 μB per formula unit
D(E_F) = 1.47 states/eV/atom
Density = 6.14 g/cm³

Unit cell a=5.160 b=5.160 c=5.160 alpha=90.00 beta=90.00 gamma=90.00
Sites, in units of the cell vectors:
Cs1 0.000 0.000 0.000
Zr1 0.000 0.000 0.500
Zr2 0.000 0.500 0.000
Zr3 0.500 0.000 0.000
Ru1 0.500 0.500 0.500


x.
The following is a PBE calculation of a relaxed structure of CsZr3Ru, from the Alexandria database.

Properties
Size of the total moment = 0.0 μB per formula unit
D(E_F) = 0.93 states/eV/atom
Density = 5.92 g/cm³

Unit cell a=5.223 b=5.223 c=5.223 alpha=90.00 beta=90.00 gamma=90.00
Sites, in units of the cell vectors:
Cs1 0.000 0.000 0.000
Zr1 0.000 0.500 0.500
Zr2 0.500 0.000 0.500
Zr3 0.500 0.500 0.000
Ru1 0.500 0.500 0.500


Best to worst by energy: x, w.


w.
The following is a PBE calculation of a relaxed structure of CsS5, from the Alexandria database.

Properties
Size of the total moment = 0.0 μB per formula unit
D(E_F) = 0.61 states/eV/atom
Density = 2.46 g/cm³

Unit cell a=5.206 b=5.429 c=7.660 alpha=109.43 beta=102.79 gamma=90.34
Sites, in units of the cell vectors:
Cs1 0.000 0.000 0.000
S1 0.046 0.068 0.527
S2 0.425 0.131 0.658
S3 0.503 0.525 0.038
S4 0.555 0.584 0.323
S5 0.942 0.648 0.464


x.
The following is a PBE calculation of a relaxed structure of CsS5, from the Alexandria database.

Properties
Size of the total moment = 0.0 μB per formula unit
D(E_F) = 0.31 states/eV/atom
Density = 3.20 g/cm³

Unit cell a=7.604 b=7.604 c=3.539 alpha=90.00 beta=90.00 gamma=132.00
Sites, in units of the cell vectors:
Cs1 0.000 0.000 0.000
S1 0.261 0.739 0.500
S2 0.363 0.637 0.000
S3 0.500 0.500 0.500
S4 0.637 0.363 0.000
S5 0.739 0.261 0.500


Best to worst by energy: w, x.


w.
The following is a PBE calculation of a relaxed structure of Cs3S, from the Alexandria database.

Properties
Size of the total moment = 0.0 μB per formula unit
D(E_F) = 0.44 states/eV/atom
Density = 2.78 g/cm³

Unit cell a=4.999 b=5.004 c=10.267 alpha=90.00 beta=90.00 gamma=90.00
Sites, in units of the cell vectors:
Cs1 0.000 0.000 0.000
Cs2 0.000 0.500 0.274
Cs3 0.500 0.500 0.549
S1 0.500 0.000 0.274


x.
The following is a PBE calculation of a relaxed structure of Cs3S, from the Alexandria database.

Properties
Size of the total moment = 0.0 μB per formula unit
D(E_F) = 0.57 states/eV/atom
Density = 2.10 g/cm³

Unit cell a=9.362 b=9.362 c=8.963 alpha=90.00 beta=90.00 gamma=120.00
Sites, in units of the cell vectors:
Cs1 0.000 0.267 0.250
Cs2 0.000 0.733 0.750
Cs3 0.267 0.000 0.250
Cs4 0.267 0.267 0.750
Cs5 0.733 0.000 0.750
Cs6 0.733 0.733 0.250
S1 0.000 0.000 0.000
S2 0.000 0.000 0.500


y.
The following is a PBE calculation of a relaxed structure of Cs3S, from the Alexandria database.

Properties
Size of the total moment = 0.0 μB per formula unit
D(E_F) = 0.55 states/eV/atom
Density = 2.19 g/cm³

Unit cell a=9.236 b=9.236 c=9.236 alpha=151.00 beta=67.73 gamma=120.28
Sites, in units of the cell vectors:
Cs1 0.000 0.000 0.000
Cs2 0.461 0.599 0.862
Cs3 0.738 0.599 0.138
S1 0.734 0.234 0.500


Best to worst by energy: x, y, w.


w.
The following is a PBE calculation of a relaxed structure of Cs2SbS, from the Alexandria database.

Properties
Size of the total moment = 3.0 μB per formula unit
D(E_F) = 0.04 states/eV/atom
Density = 4.01 g/cm³

Unit cell a=6.265 b=6.265 c=6.265 alpha=60.00 beta=60.00 gamma=60.00
Sites, in units of the cell vectors:
Cs1 0.250 0.250 0.250
Cs2 0.750 0.750 0.750
Sb1 0.000 0.000 0.000
S1 0.500 0.500 0.500


x.
The following is a PBE calculation of a relaxed structure of Cs2SbS, from the Alexandria database.

Properties
Size of the total moment = 0.0 μB per formula unit
D(E_F) = 1.04 states/eV/atom
Density = 3.24 g/cm³

Unit cell a=9.308 b=9.308 c=9.308 alpha=94.86 beta=94.86 gamma=146.16
Sites, in units of the cell vectors:
Cs1 0.375 0.211 0.336
Cs2 0.789 0.125 0.164
Cs3 0.875 0.039 0.664
Cs4 0.961 0.625 0.836
Sb1 0.250 0.750 0.500
Sb2 0.500 0.500 0.000
S1 0.000 0.000 0.000
S2 0.750 0.250 0.500


Best to worst by energy: x, w.


w.
The following is a PBE calculation of a relaxed structure of CsSbTe2S, from the Alexandria database.

Properties
Size of the total moment = 3.9 μB per formula unit
D(E_F) = 1.86 states/eV/atom
Density = 3.30 g/cm³

Unit cell a=6.474 b=6.474 c=6.512 alpha=90.00 beta=90.00 gamma=90.00
Sites, in units of the cell vectors:
Cs1 0.000 0.000 0.000
Sb1 0.000 0.000 0.500
Te1 0.000 0.500 0.000
Te2 0.500 0.000 0.000
S1 0.500 0.500 0.500


x.
The following is a PBE calculation of a relaxed structure of CsSbTe2S, from the Alexandria database.

Properties
Size of the total moment = 1.2 μB per formula unit
D(E_F) = 0.46 states/eV/atom
Density = 5.25 g/cm³

Unit cell a=5.604 b=5.604 c=5.460 alpha=90.00 beta=90.00 gamma=90.00
Sites, in units of the cell vectors:
Cs1 0.000 0.000 0.000
Sb1 0.500 0.500 0.000
Te1 0.000 0.500 0.500
Te2 0.500 0.000 0.500
S1 0.500 0.500 0.500


Best to worst by energy: x, w.


w.
The following is a PBE calculation of a relaxed structure of Cs3ScS3, from the Alexandria database.

Properties
Size of the total moment = 0.0 μB per formula unit
D(E_F) = 0.00 states/eV/atom
Density = 3.36 g/cm³

Unit cell a=8.524 b=14.166 c=11.055 alpha=90.00 beta=126.99 gamma=90.00
Sites, in units of the cell vectors:
Cs1 0.108 0.135 0.481
Cs2 0.108 0.365 0.981
Cs3 0.141 0.083 0.882
Cs4 0.141 0.417 0.382
Cs5 0.359 0.684 0.559
Cs6 0.359 0.816 0.059
Cs7 0.641 0.184 0.941
Cs8 0.641 0.316 0.441
Cs9 0.859 0.583 0.618
Cs10 0.859 0.917 0.118
Cs11 0.892 0.635 0.019
Cs12 0.892 0.865 0.519
Sc1 0.440 0.058 0.342
Sc2 0.440 0.442 0.842
Sc3 0.560 0.558 0.158
Sc4 0.560 0.942 0.658
S1 0.158 0.162 0.193
S2 0.158 0.338 0.693
S3 0.363 0.603 0.885
S4 0.363 0.897 0.385
S5 0.379 0.546 0.261
S6 0.379 0.954 0.761
S7 0.621 0.046 0.239
S8 0.621 0.454 0.739
S9 0.637 0.103 0.615
S10 0.637 0.397 0.115
S11 0.842 0.662 0.307
S12 0.842 0.838 0.807


x.
The following is a PBE calculation of a relaxed structure of Cs3ScS3, from the Alexandria database.

Properties
Size of the total moment = 0.0 μB per formula unit
D(E_F) = 0.00 states/eV/atom
Density = 3.28 g/cm³

Unit cell a=8.542 b=8.542 c=8.412 alpha=97.18 beta=97.18 gamma=113.67
Sites, in units of the cell vectors:
Cs1 0.183 0.817 0.000
Cs2 0.257 0.743 0.500
Cs3 0.380 0.380 0.146
Cs4 0.620 0.620 0.854
Cs5 0.743 0.257 0.500
Cs6 0.817 0.183 0.000
Sc1 0.166 0.166 0.644
Sc2 0.834 0.834 0.356
S1 0.097 0.097 0.337
S2 0.155 0.430 0.770
S3 0.430 0.155 0.770
S4 0.570 0.845 0.230
S5 0.845 0.570 0.230
S6 0.903 0.903 0.663


Best to worst by energy: x, w.


w.
The following is a PBE calculation of a relaxed structure of CsSc2S3, from the Alexandria database.

Properties
Size of the total moment = 0.0 μB per formula unit
D(E_F) = 0.42 states/eV/atom
Density = 3.71 g/cm³

Unit cell a=6.929 b=6.929 c=3.438 alpha=90.00 beta=90.00 gamma=120.00
Sites, in units of the cell vectors:
Cs1 0.000 0.000 0.000
Sc1 0.333 0.667 0.500
Sc2 0.667 0.333 0.500
S1 0.000 0.500 0.000
S2 0.500 0.000 0.000
S3 0.500 0.500 0.000


x.
The following is a PBE calculation of a relaxed structure of CsSc2S3, from the Alexandria database.

Properties
Size of the total moment = 0.0 μB per formula unit
D(E_F) = 0.57 states/eV/atom
Density = 3.40 g/cm³

Unit cell a=8.599 b=3.728 c=9.947 alpha=90.00 beta=102.29 gamma=90.00
Sites, in units of the cell vectors:
Cs1 0.028 0.250 0.314
Cs2 0.972 0.750 0.686
Sc1 0.347 0.250 0.019
Sc2 0.482 0.250 0.665
Sc3 0.518 0.750 0.335
Sc4 0.653 0.750 0.981
S1 0.242 0.750 0.146
S2 0.332 0.750 0.510
S3 0.379 0.750 0.836
S4 0.621 0.250 0.164
S5 0.668 0.250 0.490
S6 0.758 0.250 0.854


Best to worst by energy: x, w.


w.
The following is a PBE calculation of a relaxed structure of CsSeS, from the Alexandria database.

Properties
Size of the total moment = 0.0 μB per formula unit
D(E_F) = 1.10 states/eV/atom
Density = 4.14 g/cm³

Unit cell a=4.605 b=4.605 c=5.331 alpha=90.00 beta=90.00 gamma=120.00
Sites, in units of the cell vectors:
Cs1 0.000 0.000 0.000
Se1 0.667 0.333 0.488
S1 0.333 0.667 0.523


x.
The following is a PBE calculation of a relaxed structure of CsSeS, from the Alexandria database.

Properties
Size of the total moment = 0.0 μB per formula unit
Density = 3.63 g/cm³

Unit cell a=8.730 b=8.730 c=5.486 alpha=106.68 beta=106.68 gamma=34.08
Sites, in units of the cell vectors:
Cs1 0.106 0.106 0.317
Cs2 0.894 0.894 0.683
Se1 0.269 0.269 0.967
Se2 0.731 0.731 0.033
S1 0.403 0.403 0.195
S2 0.597 0.597 0.805


y.
The following is a PBE calculation of a relaxed structure of CsSeS, from the Alexandria database.

Properties
Size of the total moment = 0.0 μB per formula unit
Density = 3.50 g/cm³

Unit cell a=4.952 b=6.174 c=8.130 alpha=73.50 beta=84.78 gamma=76.43
Sites, in units of the cell vectors:
Cs1 0.112 0.315 0.294
Cs2 0.888 0.685 0.706
Se1 0.322 0.057 0.886
Se2 0.678 0.943 0.114
S1 0.488 0.731 0.340
S2 0.512 0.269 0.660


Best to worst by energy: y, x, w.


w.
The following is a PBE calculation of a relaxed structure of Cs2SeS, from the Alexandria database.

Properties
Size of the total moment = 0.0 μB per formula unit
D(E_F) = 0.00 states/eV/atom
Density = 3.23 g/cm³

Unit cell a=9.031 b=9.675 c=8.857 alpha=90.00 beta=90.00 gamma=90.00
Sites, in units of the cell vectors:
Cs1 0.182 0.008 0.188
Cs2 0.182 0.492 0.188
Cs3 0.318 0.508 0.688
Cs4 0.318 0.992 0.688
Cs5 0.682 0.008 0.312
Cs6 0.682 0.492 0.312
Cs7 0.818 0.508 0.812
Cs8 0.818 0.992 0.812
Se1 0.089 0.250 0.898
Se2 0.411 0.750 0.398
Se3 0.589 0.250 0.602
Se4 0.911 0.750 0.102
S1 0.090 0.750 0.920
S2 0.410 0.250 0.420
S3 0.590 0.750 0.580
S4 0.910 0.250 0.080


x.
The following is a PBE calculation of a relaxed structure of Cs2SeS, from the Alexandria database.

Properties
Size of the total moment = 2.0 μB per formula unit
D(E_F) = 0.93 states/eV/atom
Density = 3.94 g/cm³

Unit cell a=6.078 b=6.078 c=6.078 alpha=60.00 beta=60.00 gamma=60.00
Sites, in units of the cell vectors:
Cs1 0.250 0.250 0.250
Cs2 0.750 0.750 0.750
Se1 0.000 0.000 0.000
S1 0.500 0.500 0.500


Best to worst by energy: w, x.


w.
The following is a PBE calculation of a relaxed structure of Cs2SeS, from the Alexandria database.

Properties
Size of the total moment = 0.0 μB per formula unit
D(E_F) = 0.10 states/eV/atom
Density = 3.30 g/cm³

Unit cell a=8.891 b=8.891 c=8.891 alpha=95.01 beta=95.01 gamma=145.61
Sites, in units of the cell vectors:
Cs1 0.375 0.219 0.344
Cs2 0.781 0.125 0.156
Cs3 0.875 0.031 0.656
Cs4 0.969 0.625 0.844
Se1 0.250 0.750 0.500
Se2 0.500 0.500 0.000
S1 0.000 0.000 0.000
S2 0.750 0.250 0.500


x.
The following is a PBE calculation of a relaxed structure of Cs2SeS, from the Alexandria database.

Properties
Size of the total moment = 0.0 μB per formula unit
D(E_F) = 0.00 states/eV/atom
Density = 3.41 g/cm³

Unit cell a=8.713 b=6.486 c=13.208 alpha=90.00 beta=100.61 gamma=90.00
Sites, in units of the cell vectors:
Cs1 0.004 0.208 0.115
Cs2 0.004 0.292 0.615
Cs3 0.486 0.626 0.850
Cs4 0.486 0.874 0.350
Cs5 0.514 0.126 0.650
Cs6 0.514 0.374 0.150
Cs7 0.996 0.708 0.385
Cs8 0.996 0.792 0.885
Se1 0.340 0.624 0.576
Se2 0.340 0.876 0.076
Se3 0.660 0.124 0.924
Se4 0.660 0.376 0.424
S1 0.171 0.704 0.158
S2 0.171 0.796 0.658
S3 0.829 0.204 0.342
S4 0.829 0.296 0.842


Best to worst by energy: x, w.


w.
The following is a PBE calculation of a relaxed structure of Cs2SeS3, from the Alexandria database.

Properties
Size of the total moment = 0.0 μB per formula unit
Density = 3.22 g/cm³

Unit cell a=7.293 b=7.293 c=11.671 alpha=114.55 beta=114.55 gamma=56.18
Sites, in units of the cell vectors:
Cs1 0.089 0.253 0.093
Cs2 0.253 0.089 0.593
Cs3 0.747 0.911 0.407
Cs4 0.911 0.747 0.907
Se1 0.365 0.635 0.250
Se2 0.635 0.365 0.750
S1 0.042 0.958 0.250
S2 0.357 0.504 0.426
S3 0.496 0.643 0.074
S4 0.504 0.357 0.926
S5 0.643 0.496 0.574
S6 0.958 0.042 0.750


x.
The following is a PBE calculation of a relaxed structure of Cs2SeS3, from the Alexandria database.

Properties
Size of the total moment = 0.0 μB per formula unit
Density = 3.51 g/cm³

Unit cell a=11.636 b=11.636 c=7.512 alpha=90.00 beta=90.00 gamma=155.75
Sites, in units of the cell vectors:
Cs1 0.014 0.986 0.750
Cs2 0.182 0.818 0.250
Cs3 0.818 0.182 0.750
Cs4 0.986 0.014 0.250
Se1 0.352 0.648 0.250
Se2 0.648 0.352 0.750
S1 0.180 0.820 0.750
S2 0.408 0.592 0.009
S3 0.408 0.592 0.491
S4 0.592 0.408 0.509
S5 0.592 0.408 0.991
S6 0.820 0.180 0.250


Best to worst by energy: w, x.